Entry 1:
Computed, not measured: a relaxed ErCu4Au8 crystal at the GGA-PBE level of DFT.

Cell: 7.0032 7.0032 7.0032 Å, 98.28 98.28 135.40°
With the nearest neighbours (Å) after each atom.
Fractional coordinates of all 13 atoms:
Er 0.0000 0.0000 0.0000  12 Au 3.06-3.33
Cu 0.0000 0.0000 0.5000  2 Cu 2.66, 8 Au 2.66-2.76
Cu 0.0000 0.5000 0.0000  2 Cu 2.66, 8 Au 2.66-2.76
Cu 0.5000 0.0000 0.0000  2 Cu 2.66, 8 Au 2.66-2.76
Cu 0.5000 0.5000 0.5000  2 Cu 2.66, 8 Au 2.66-2.76
Au 0.0000 0.3338 0.3338  4 Cu 2.76, 5 Au 2.86-3.05, 1 Er 3.06
Au 0.0000 0.6662 0.6662  4 Cu 2.76, 5 Au 2.86-3.05, 1 Er 3.06
Au 0.2815 0.5000 0.7815  4 Cu 2.66, 4 Au 2.83-2.86
Au 0.3338 0.0000 0.3338  4 Cu 2.76, 5 Au 2.86-3.05, 1 Er 3.06
Au 0.5000 0.2815 0.7815  4 Cu 2.66, 4 Au 2.83-2.86
Au 0.5000 0.7185 0.2185  4 Cu 2.66, 4 Au 2.83-2.86
Au 0.6662 0.0000 0.6662  4 Cu 2.76, 5 Au 2.86-3.05, 1 Er 3.06
Au 0.7185 0.5000 0.2185  4 Cu 2.66, 4 Au 2.83-2.86

Properties
The space group is I4/mmm (139). The calculation puts the energy of formation at -240 meV/atom. The total magnetic moment comes out at 0.00 μB/cell.



Entry 2:
Computed, not measured: a relaxed La3Pm2Co2 crystal at the GGA-PBE level of DFT.

Cell: 3.7845 6.4564 8.7773 Å, 72.39 89.94 73.00°
With the nearest neighbours (Å) after each atom.
Fractional coordinates of all 7 atoms:
La 0.0000 0.0000 0.0000  4 Co 2.84-2.85
La 0.1239 0.7530 0.4172  2 Co 2.89
La 0.8761 0.2470 0.5828  2 Co 2.89
Pm 0.3238 0.3523 0.1907  2 Co 2.78
Pm 0.6762 0.6477 0.8093  2 Co 2.78
Co 0.3409 0.3174 0.8117  2 Pm 2.78, 4 La 2.84-2.89
Co 0.6591 0.6826 0.1883  2 Pm 2.78, 4 La 2.84-2.89

Properties
The space group is P-1 (2). The calculation puts the energy of formation at -68 meV/atom. The total magnetic moment comes out at 0.00 μB/cell.